(1)
DFT (PBE) results for a relaxed ZrPbBr2 crystal.

SG: No. 216
Excess energy over the best structure of this formula in the dataset, meV/atom: 919
DOS(E_F), states/eV per cell: 5.4
Uncorrected formation energy, meV/atom: 145
Mass density, g/cm³: 7.12

The structure in POSCAR format:
```
ZrPbBr2
1.0
-4.531 -2.786 -0.309
-0.067 -4.709 -2.491
-0.562 -4.491 2.809
Br Pb Zr
2 1 1
Cartesian
-1.290 -2.997 0.003 Br
0.000 0.000 0.000 Br
-2.580 -5.993 0.005 Pb
-3.870 -8.990 0.008 Zr
```

(2)
DFT (PBE) results for a relaxed PmBeSb2 crystal.

SG: No. 166
Excess energy over the best structure of this formula in the dataset, meV/atom: 180
DOS(E_F), states/eV per cell: 1.5
Uncorrected formation energy, meV/atom: 17
Mass density, g/cm³: 4.65

The structure in POSCAR format:
```
PmBeSb2
1.0
4.448 0.000 0.000
2.224 3.852 0.000
2.224 1.284 8.286
Be Sb Pm
1 2 1
Cartesian
0.000 0.000 0.000 Be
6.671 3.852 2.287 Sb
2.224 1.284 5.999 Sb
4.448 2.568 4.143 Pm
```

(3)
DFT (PBE) results for a relaxed CaAcPm2 crystal.

SG: No. 123
Excess energy over the best structure of this formula in the dataset, meV/atom: 26
DOS(E_F), states/eV per cell: 6.2
Energy of formation from the pure elements, eV per atom: 0.0818
Mass density, g/cm³: 6.08

The structure in POSCAR format:
```
CaAcPm2
1.0
5.460 0.000 0.000
0.000 5.279 0.000
0.000 0.000 5.279
Pm Ca Ac
2 1 1
Cartesian
0.000 2.639 0.000 Pm
0.000 0.000 2.639 Pm
2.730 0.000 0.000 Ca
2.730 2.639 2.639 Ac
```

(4)
DFT (PBE) results for a relaxed Sr2InO2 crystal.

SG: No. 139
Excess energy over the best structure of this formula in the dataset, meV/atom: 0
DOS(E_F), states/eV per cell: 2.3
Uncorrected formation energy, meV/atom: -1721
Mass density, g/cm³: 4.20

The structure in POSCAR format:
```
Sr2InO2
1.0
4.539 0.000 0.000
0.000 4.539 0.000
2.270 2.270 6.177
O Sr In
2 2 1
Cartesian
4.539 2.270 3.089 O
2.270 4.539 3.089 O
2.270 2.270 2.241 Sr
4.539 4.539 3.936 Sr
0.000 0.000 0.000 In
```

> What is the formula in the first record?

ZrPbBr2

> Which value of DOS(E_F) does entry 1 give?

5.4 states/eV per cell

Repeat the third record exactly.
DFT (PBE) results for a relaxed CaAcPm2 crystal.

SG: No. 123
Excess energy over the best structure of this formula in the dataset, meV/atom: 26
DOS(E_F), states/eV per cell: 6.2
Energy of formation from the pure elements, eV per atom: 0.0818
Mass density, g/cm³: 6.08

The structure in POSCAR format:
```
CaAcPm2
1.0
5.460 0.000 0.000
0.000 5.279 0.000
0.000 0.000 5.279
Pm Ca Ac
2 1 1
Cartesian
0.000 2.639 0.000 Pm
0.000 0.000 2.639 Pm
2.730 0.000 0.000 Ca
2.730 2.639 2.639 Ac
```